Record 1
HfNbCu2As: optimized geometry, GGA-PBE.

Its energy relative to the elements is 0.48 eV per atom.

```
HfNbCu2As
1.0
-1.255 -3.098 -2.858
4.261 -2.352 0.678
-1.795 -2.305 3.287
Nb Hf As Cu
1 1 1 2
Cartesian
2.131 -1.176 0.339 Nb
0.605 -3.877 0.553 Hf
0.000 0.000 0.000 As
-0.898 -1.153 1.643 Cu
-0.628 -1.549 -1.429 Cu
```

Record 2
Sm2Ho7Er: optimized geometry, GGA-PBE.

The relative energy among the computed polymorphs is 138 meV/atom. Its energy relative to the elements is 0.16 eV per atom.

```
Sm2Ho7Er
1.0
-3.280 -0.268 1.193
5.086 -4.807 12.906
-4.316 10.269 -9.563
Sm Ho Er
2 7 1
Cartesian
0.702 -0.541 6.944 Sm
-3.212 5.735 -2.409 Sm
3.347 -2.019 8.751 Ho
-2.577 7.481 -5.407 Ho
-2.371 2.686 -0.780 Ho
-0.139 2.509 5.316 Ho
-0.530 -0.266 3.618 Ho
-1.980 5.460 0.918 Ho
-1.255 2.597 2.268 Ho
0.000 0.000 0.000 Er
```

Record 3
CrFe2CuN: optimized geometry, GGA-PBE.

As for the energy relative to the elements, uncorrected: -28 meV/atom.

```
CrFe2CuN
1.0
-0.476 -3.141 2.088
1.529 -2.084 -2.787
3.444 0.490 1.523
Cr Fe Cu N
1 2 1 1
Cartesian
1.722 0.245 0.761 Cr
0.764 -1.042 -1.393 Fe
-0.238 -1.570 1.044 Fe
2.249 -2.367 0.412 Cu
0.000 0.000 0.000 N
```

Record 4
NaPaTe2: optimized geometry, GGA-PBE.

As for the energy relative to the elements, uncorrected: -837 meV/atom.

```
NaPaTe2
1.0
4.266 0.000 0.000
2.133 3.694 0.000
2.133 1.231 8.144
Na Pa Te
1 1 2
Cartesian
4.266 2.463 4.098 Na
6.399 3.694 8.135 Pa
2.133 1.231 6.206 Te
2.133 1.231 1.922 Te
```

Record 5
SmSc5Ni4: optimized geometry, GGA-PBE.

Its energy relative to the elements is -0.38 eV per atom.

```
SmSc5Ni4
1.0
3.215 0.000 0.000
0.000 3.215 0.000
0.000 0.000 17.824
Sm Sc Ni
1 5 4
Cartesian
0.000 0.000 0.000 Sm
1.608 1.608 2.699 Sc
1.608 1.608 5.778 Sc
1.608 1.608 8.912 Sc
1.608 1.608 12.045 Sc
1.608 1.608 15.124 Sc
0.000 0.000 4.196 Ni
0.000 0.000 7.341 Ni
0.000 0.000 10.483 Ni
0.000 0.000 13.628 Ni
```

Record 6
Ac6CoPdAu2: optimized geometry, GGA-PBE.

Its energy relative to the elements is -0.44 eV per atom.

```
Ac6CoPdAu2
1.0
7.814 -0.002 0.002
3.906 6.763 0.002
3.908 2.255 6.857
Ac Co Pd Au
6 1 1 2
Cartesian
6.333 1.990 1.747 Ac
6.372 7.047 1.746 Ac
10.737 4.482 1.749 Ac
9.155 6.432 5.267 Ac
8.810 2.387 5.265 Ac
5.478 4.709 5.266 Ac
3.906 2.253 0.180 Co
11.721 6.761 3.606 Pd
7.814 4.508 3.055 Au
3.906 2.255 6.529 Au
```

Record 7
Rb2HgH6Pt: optimized geometry, GGA-PBE.

The calculation puts the total energy at -31.466 eV per cell.

```
Rb2HgH6Pt
1.0
-7.447 1.459 2.105
-1.521 0.130 -5.470
-0.147 -4.896 2.873
Rb Hg H Pt
2 1 6 1
Cartesian
-1.952 -2.957 0.473 Rb
-7.163 -0.350 -0.964 Rb
-3.723 0.730 1.053 Hg
-6.791 -0.047 1.888 H
-6.878 -2.923 3.575 H
-7.772 -2.847 0.362 H
-2.237 -0.384 -4.067 H
-1.343 -0.460 -0.853 H
-2.324 -3.261 -2.379 H
0.000 0.000 0.000 Pt
```

Record 8
Tb8Tm2Zr: optimized geometry, GGA-PBE.

The relative energy among the computed polymorphs is 169 meV/atom. Its energy relative to the elements is 0.21 eV per atom.

```
Tb8Tm2Zr
1.0
-3.970 -0.477 5.158
0.821 -7.918 5.968
3.812 -2.839 8.740
Tb Tm Zr
8 2 1
Cartesian
2.522 -5.108 10.378 Tb
-0.396 -3.643 10.843 Tb
2.878 -8.172 11.866 Tb
-2.215 -3.062 8.001 Tb
1.060 -7.591 9.023 Tb
-1.859 -6.126 9.488 Tb
-0.119 -6.750 12.495 Tb
0.782 -4.484 7.372 Tb
1.612 -9.039 14.820 Tm
-0.949 -2.195 5.046 Tm
0.000 0.000 0.000 Zr
```

Record 9
Pm3Sm3Hg2: optimized geometry, GGA-PBE.

Its energy relative to the elements is -0.16 eV per atom.

```
Pm3Sm3Hg2
1.0
-4.611 -1.304 -2.248
5.054 0.035 -4.156
2.760 -15.323 3.227
Pm Sm Hg
6 6 4
Cartesian
-0.225 -8.052 -1.099 Pm
4.651 -15.329 -0.648 Pm
-1.448 -1.264 -2.529 Pm
3.428 -8.540 -2.078 Pm
3.111 -4.374 -3.845 Pm
0.092 -12.218 0.668 Pm
1.313 -7.215 -4.739 Sm
2.670 -13.702 2.473 Sm
0.534 -2.890 -5.650 Sm
1.890 -9.377 1.562 Sm
-0.404 -4.755 -2.645 Sm
3.607 -11.837 -0.532 Sm
1.603 -14.253 -1.251 Hg
2.237 -5.874 -1.181 Hg
0.966 -10.718 -1.996 Hg
1.600 -2.339 -1.926 Hg
```

Record 10
Li4TbAl: optimized geometry, GGA-PBE.

Its energy relative to the elements is -0.04 eV per atom.

```
Li4TbAl
1.0
-5.183 0.205 -1.572
-3.891 -1.947 3.231
-3.441 3.397 2.448
Tb Al Li
1 1 4
Cartesian
-3.129 0.414 1.027 Tb
0.000 0.000 0.000 Al
-6.099 -0.682 1.334 Li
-5.872 2.022 0.938 Li
-7.841 1.037 2.573 Li
-5.218 0.933 3.369 Li
```

Record 11
Ti4Si2H: optimized geometry, GGA-PBE.

The relative energy among the computed polymorphs is 262 meV/atom.

```
Ti4Si2H
1.0
-3.181 -0.744 -1.276
1.557 -4.398 -1.319
-0.443 -0.505 6.221
Ti Si H
4 2 1
Cartesian
-2.894 -2.235 3.698 Ti
0.826 -3.411 -0.072 Ti
-1.631 -1.866 0.333 Ti
-0.437 -3.780 3.293 Ti
-1.275 -4.407 0.925 Si
-0.793 -1.239 2.700 Si
0.000 0.000 0.000 H
```

Record 12
CaCuS2N: optimized geometry, GGA-PBE.

The relative energy among the computed polymorphs is 0 meV/atom. As for the energy relative to the elements, uncorrected: -39 meV/atom.

```
CaCuS2N
1.0
-1.036 4.612 0.869
0.816 -0.699 4.684
3.572 0.895 -0.489
Ca S Cu N
1 2 1 1
Cartesian
1.676 2.404 2.532 Ca
0.408 -0.349 2.342 S
-0.518 2.306 0.434 S
0.000 0.000 0.000 Cu
1.786 0.447 -0.244 N
```